LiLa2Br | PBE | optimized geometry

* ρ: 4.94 g cm⁻³
* space group: Cmmm
* formation energy (no corrections): -0.435 eV per atom

abc: 3.606 3.606 10.116
angles: 90.00 90.00 111.34
Fractional coordinates of all 4 atoms:
Br: 0.500 0.500 0.750
La: 0.000 0.000 0.995
La: 0.000 0.000 0.505
Li: 0.500 0.500 0.250